1.
Here is a relaxed structure of Nd4SnSbN from the Alexandria database. Energies are from GGA-PBE.

## Properties
- Total energy: -6.029 eV/atom
- Uncorrected formation energy: -954 meV/atom

abc: 6.9046 16.5902 6.8983
angles: 90.00 90.00 90.00
Space group Cmcm (No. 63)
Inequivalent atoms, fractional coordinates:
Nd1 0.0000 0.0874 0.2500 x4
Nd2 0.0000 0.4122 0.2500 x4
Nd3 0.2500 0.2500 0.0000 x8
Sn1 0.0000 0.1077 0.7500 x4
Sb1 0.0000 0.3911 0.7500 x4
N1 0.0000 0.2502 0.2500 x4

2.
Here is a relaxed structure of Tb2NdSbN4 from the Alexandria database. Energies are from GGA-PBE.

## Properties
- Total energy: -7.225 eV/atom
- Uncorrected formation energy: -793 meV/atom

abc: 3.3510 13.5859 11.5768
angles: 90.00 90.00 90.00
Space group Cmcm (No. 63)
Inequivalent atoms, fractional coordinates:
Tb1 0.0000 0.1311 0.0041 x8
Nd1 0.0000 0.2618 0.7500 x4
Sb1 0.0000 0.4882 0.2500 x4
N1 0.0000 0.0892 0.2500 x4
N2 0.0000 0.2884 0.1066 x8
N3 0.0000 0.5000 0.0000 x4

3.
Here is a relaxed structure of Nd3SbTeN from the Alexandria database. Energies are from GGA-PBE.

## Properties
- Total energy: -6.225 eV/atom
- Uncorrected formation energy: -1243 meV/atom

abc: 9.3824 4.2905 9.5410
angles: 90.00 95.61 90.00
Space group P2_1/m (No. 11)
Inequivalent atoms, fractional coordinates:
Nd1 0.1072 0.2500 0.3674 x2
Nd2 0.3517 0.2500 0.0038 x2
Nd3 0.3756 0.7500 0.6735 x2
Sb1 0.1324 0.2500 0.6980 x2
Te1 0.3486 0.7500 0.3048 x2
N1 0.4126 0.7500 0.9112 x2

4.
Here is a relaxed structure of Nd2Th4Sb3N2 from the Alexandria database. Energies are from GGA-PBE.

## Properties
- Total energy: -7.237 eV/atom
- Uncorrected formation energy: -1034 meV/atom

abc: 4.7679 4.7679 26.5371
angles: 90.00 90.00 90.00
Space group I4/mmm (No. 139)
Inequivalent atoms, fractional coordinates:
Nd1 0.0000 0.0000 0.1983 x4
Th1 0.0000 0.5000 0.0847 x8
Sb1 0.0000 0.0000 0.3229 x4
Sb2 0.0000 0.0000 0.5000 x2
N1 0.0000 0.0000 0.1031 x4

5.
Here is a relaxed structure of Nd2ThSbN2 from the Alexandria database. Energies are from GGA-PBE.

## Properties
- Total energy: -7.368 eV/atom
- Uncorrected formation energy: -1080 meV/atom

abc: 4.6066 4.6066 6.6991
angles: 90.00 90.00 90.00
Space group P4/mmm (No. 123)
Inequivalent atoms, fractional coordinates:
Nd1 0.0000 0.0000 0.2367 x2
Th1 0.5000 0.5000 0.0000 x1
Sb1 0.5000 0.5000 0.5000 x1
N1 0.0000 0.5000 0.0000 x2

6.
Here is a relaxed structure of NdThSb2N from the Alexandria database. Energies are from GGA-PBE.

## Properties
- Total energy: -6.712 eV/atom
- Uncorrected formation energy: -961 meV/atom

abc: 4.1936 4.1936 14.6726
angles: 90.00 90.00 90.00
Space group P4/nmm (No. 129, origin choice 2)
Inequivalent atoms, fractional coordinates:
Nd1 0.2500 0.2500 0.0643 x2
Th1 0.2500 0.2500 0.5752 x2
Sb1 0.2500 0.2500 0.2778 x2
Sb2 0.2500 0.2500 0.8431 x2
N1 0.2500 0.7500 0.5000 x2

7.
Here is a relaxed structure of Nd4TlSbN from the Alexandria database. Energies are from GGA-PBE.

## Properties
- Total energy: -5.680 eV/atom
- Uncorrected formation energy: -839 meV/atom

abc: 6.9559 16.4275 6.9549
angles: 90.00 90.00 90.00
Space group Cmcm (No. 63)
Inequivalent atoms, fractional coordinates:
Nd1 0.0000 0.0882 0.2500 x4
Nd2 0.0000 0.4108 0.2500 x4
Nd3 0.2500 0.2500 0.0000 x8
Tl1 0.0000 0.1096 0.7500 x4
Sb1 0.0000 0.3911 0.7500 x4
N1 0.0000 0.2460 0.2500 x4

8.
Here is a relaxed structure of NdTm2SbN4 from the Alexandria database. Energies are from GGA-PBE.

## Properties
- Total energy: -7.232 eV/atom
- Uncorrected formation energy: -840 meV/atom

abc: 3.3126 13.2641 11.5269
angles: 90.00 90.00 90.00
Space group Cmcm (No. 63)
Inequivalent atoms, fractional coordinates:
Nd1 0.0000 0.2359 0.2500 x4
Tm1 0.0000 0.3686 0.5023 x8
Sb1 0.0000 0.0172 0.7500 x4
N1 0.0000 0.0000 0.0000 x4
N2 0.0000 0.2127 0.6044 x8
N3 0.0000 0.4131 0.7500 x4

9.
Here is a relaxed structure of NdUSbN2 from the Alexandria database. Energies are from GGA-PBE.

## Properties
- Total energy: -8.636 eV/atom
- Uncorrected formation energy: -1270 meV/atom

abc: 3.9359 3.9359 12.6875
angles: 90.00 90.00 90.00
Space group I4mm (No. 107)
Inequivalent atoms, fractional coordinates:
Nd1 0.0000 0.0000 0.0000 x2
U1 0.0000 0.0000 0.3197 x2
Sb1 0.0000 0.0000 0.6673 x2
N1 0.0000 0.5000 0.3909 x4

10.
Here is a relaxed structure of Nd2USbN2 from the Alexandria database. Energies are from GGA-PBE.

## Properties
- Total energy: -8.040 eV/atom
- Uncorrected formation energy: -1107 meV/atom

abc: 4.3937 4.3937 6.6689
angles: 90.00 90.00 90.00
Space group P4/mmm (No. 123)
Inequivalent atoms, fractional coordinates:
Nd1 0.0000 0.0000 0.2401 x2
U1 0.5000 0.5000 0.0000 x1
Sb1 0.5000 0.5000 0.5000 x1
N1 0.0000 0.5000 0.0000 x2

11.
Here is a relaxed structure of Nd2USbN5 from the Alexandria database. Energies are from GGA-PBE.

## Properties
- Total energy: -8.205 eV/atom
- Uncorrected formation energy: -808 meV/atom

abc: 3.5649 14.4109 10.7040
angles: 90.00 90.00 90.00
Space group Cmc2_1 (No. 36)
Inequivalent atoms, fractional coordinates:
Nd1 0.0000 0.1142 0.0000 x4
Nd2 0.0000 0.1347 0.5868 x4
U1 0.0000 0.2172 0.3061 x4
Sb1 0.0000 0.4856 0.7725 x4
N1 0.0000 0.0547 0.3586 x4
N2 0.0000 0.2810 0.9384 x4
N3 0.0000 0.2995 0.6758 x4
N4 0.0000 0.3702 0.3061 x4
N5 0.0000 0.4966 0.0827 x4

12.
Here is a relaxed structure of Nd2ScN from the Alexandria database. Energies are from GGA-PBE.

## Properties
- Total energy: -6.514 eV/atom
- Uncorrected formation energy: -466 meV/atom

abc: 3.5305 3.5305 28.1448
angles: 90.00 90.00 120.00
Space group R-3m (No. 166, hexagonal axes)
Inequivalent atoms, fractional coordinates:
Nd1 0.0000 0.0000 0.1166 x6
Sc1 0.0000 0.0000 0.0000 x3
N1 0.0000 0.0000 0.5000 x3